The following is a GGA-PBE calculation of a relaxed BaCa2I6 crystal, from Alexandria.

The calculation puts the energy above the most stable polymorph in this dataset at 19.2 meV/atom. The density of states at the Fermi level is 0.0 states/eV per cell. The value obtained for the total moment is 0.00 μB/cell. As for the calculated volume: 48.1 Å³ per atom.

The structure belongs to space group P4_2/mnm (No. 136); the cell edges are 7.6963, 7.6963 and 14.6284 Å and the angles 90.00°, 90.00° and 90.00°. The asymmetric unit holds Ba at (0.0000, 0.0000, 0.0000), Ca at (0.0000, 0.0000, 0.3324), I at (0.1831, 0.1831, 0.5000) and I at (0.2060, 0.2060, 0.1802).


The following is a GGA-PBE calculation of a relaxed BaCaI4 crystal, from Alexandria.

The calculation puts the energy above the most stable polymorph in this dataset at 1.7 meV/atom. The density of states at the Fermi level is 0.0 states/eV per cell. The value obtained for the total moment is 0.00 μB/cell. As for the calculated volume: 49.6 Å³ per atom.

The structure belongs to space group Pbcn (No. 60); the cell edges are 7.6805, 19.2150 and 8.0740 Å and the angles 90.00°, 90.00° and 90.00°. The asymmetric unit holds Ba at (0.0000, 0.1755, 0.2500), Ca at (0.0000, 0.4367, 0.2500), I at (0.2337, 0.4506, 0.5686) and I at (0.2358, 0.3174, 0.1036).


no.,formation energy without anion corrections (kJ per mole of atoms)
1,-157.08
2,-161.55